# DyHoTeO6

An optimized crystal structure of DyHoTeO6 (PBE, the Alexandria database).

Properties
Crystal system: trigonal
Raw formation energy: -2.4676 eV per atom
Space-group type: P-31c

Cell: 5.534 5.534 9.466 Å, 90.00 90.00 120.00°
Atoms (fractional coordinates):
Dy  0.000  0.000  0.000
Dy  0.000  0.000  0.500
Ho  0.333  0.667  0.250
Ho  0.667  0.333  0.750
Te  0.667  0.333  0.250
Te  0.333  0.667  0.750
O  0.671  0.629  0.135
O  0.958  0.329  0.135
O  0.329  0.958  0.635
O  0.042  0.671  0.865
O  0.371  0.329  0.365
O  0.958  0.629  0.365
O  0.629  0.958  0.865
O  0.671  0.042  0.365
O  0.042  0.371  0.635
O  0.371  0.042  0.135
O  0.629  0.671  0.635
O  0.329  0.371  0.865

# EuB2W

An optimized crystal structure of EuB2W (PBE, the Alexandria database).

Properties
Crystal system: trigonal
Space-group type: R-3m
DFT formation energy: 98 kJ/mol of formula units

Cell: 3.356 3.356 6.379 Å, 74.75 74.75 60.00°
Atoms (fractional coordinates):
Eu  0.500  0.500  0.500
B  0.730  0.730  0.811
B  0.270  0.270  0.189
W  0.000  0.000  0.000

# SmPaFeRu

An optimized crystal structure of SmPaFeRu (PBE, the Alexandria database).

Properties
Crystal system: cubic
Space-group type: F-43m
DFT formation energy: -19 kJ/mol of formula units

Cell: 4.837 4.837 4.837 Å, 60.00 60.00 60.00°
Atoms (fractional coordinates):
Ru  0.750  0.750  0.750
Pa  0.500  0.500  0.500
Fe  0.250  0.250  0.250
Sm  0.000  0.000  0.000

# Ac2TmTe2N2

An optimized crystal structure of Ac2TmTe2N2 (PBE, the Alexandria database).

Properties
Crystal system: tetragonal
Raw formation energy: -1.3678 eV per atom
Space-group type: I4/mmm

Cell: 4.522 4.522 9.125 Å, 104.35 104.35 90.00°
Atoms (fractional coordinates):
Ac  0.396  0.396  0.792
Ac  0.604  0.604  0.208
Tm  0.000  0.000  0.000
Te  0.182  0.182  0.363
Te  0.818  0.818  0.637
N  0.000  0.500  0.000
N  0.500  0.000  0.000

no.,mass density (g/cm3),spin magnetization (μB per formula unit)
1,7.29,0.0
2,10.01,6.9
3,11.17,0.6
4,8.61,0.0